Compound: EuTmCd
Source: the Alexandria database
Functional: GGA-PBE
Structure: optimized geometry

Structure (POSCAR):
```
EuTmCd
1.0
-2.1283 -0.2283 3.0813
1.8600 -3.0823 1.0563
4.4214 5.3511 1.1662
Cd Tm Eu
1 1 1
Direct
0.6785 0.6785 0.3571 Cd
0.3081 0.3081 0.6161 Tm
0.0134 0.0134 0.0268 Eu
```

Values from the calculation:
Total energy: -5.37 eV per atom
Distance to the lowest polymorph of the same formula: 0.0 meV per atom